VASP calculation (PBE-GGA) on a relaxed structure of Re2Te.

Cell lengths 6.1183, 6.1183, 6.9510 Å; angles 62.53, 62.53, 28.74 degrees
Last column: nearest neighbours and their distance in Å.
Fractional positions:
Te 0.6667 0.6667 0.3866  6 Re 2.75-3.03, 2 Te 3.04
Re 0.3588 0.3588 0.9862  6 Re 2.65-2.92, 1 Te 2.75
Re 0.0696 0.0696 0.7782  5 Re 2.65-2.72, 3 Te 2.77-2.84
Re 0.9304 0.9304 0.2218  5 Re 2.65-2.72, 3 Te 2.77-2.84
Re 0.6412 0.6412 0.0138  6 Re 2.65-2.92, 1 Te 2.75
Te 0.3333 0.3333 0.6134  6 Re 2.75-3.03, 2 Te 3.04

Calculated values
M_tot   0.00 μB per cell
Formation energy from raw total energies   1.20 eV per formula unit
VASP energy   -26.834 eV per formula unit

---

VASP calculation (PBE-GGA) on a relaxed structure of Re2Te3.

Cell lengths 6.6937, 6.8166, 7.0975 Å; angles 61.30, 77.57, 63.36 degrees
Last column: nearest neighbours and their distance in Å.
Fractional positions:
Re 0.0450 0.2913 0.6933  2 Re 2.53, 3 Te 2.65-2.72
Te 0.8573 0.1950 0.4738  3 Re 2.65-2.80
Re 0.5450 0.9847 0.3067  2 Re 2.53, 3 Te 2.65-2.72
Te 0.8895 0.5450 0.9227  2 Re 2.66
Te 0.3895 0.4678 0.0773  2 Re 2.66
Re 0.9170 0.7499 0.4970  2 Re 2.53, 4 Te 2.66-2.80
Te 0.9218 0.9375 0.0629  3 Re 2.71-2.86
Re 0.4170 0.2469 0.5030  2 Re 2.53, 4 Te 2.66-2.80
Te 0.4218 0.0004 0.9371  3 Re 2.71-2.86
Te 0.3573 0.6688 0.5262  3 Re 2.65-2.80

Calculated values
M_tot   0.00 μB per cell
Formation energy from raw total energies   2.05 eV per formula unit
VASP energy   -32.274 eV per formula unit

---

VASP calculation (PBE-GGA) on a relaxed structure of Re2Te.

Cell lengths 3.0240, 3.0240, 6.5830 Å; angles 90.00, 90.00, 120.00 degrees
Last column: nearest neighbours and their distance in Å.
Fractional positions:
Re 0.6667 0.3333 0.6522  3 Re 2.66, 3 Te 2.88
Te 0.0000 0.0000 0.0000  6 Re 2.88, 6 Te 3.02
Re 0.3333 0.6667 0.3478  3 Re 2.66, 3 Te 2.88

Calculated values
M_tot   0.00 μB per cell
Formation energy from raw total energies   1.90 eV per formula unit
VASP energy   -26.137 eV per formula unit

---

VASP calculation (PBE-GGA) on a relaxed structure of ReTe.

Cell lengths 11.0987, 11.0987, 3.8803 Å; angles 90.00, 90.00, 90.00 degrees
Last column: nearest neighbours and their distance in Å.
Fractional positions:
Te 0.4497 0.7878 0.0000  4 Re 2.65-2.79
Re 0.8118 0.7184 0.5000  2 Re 2.48, 3 Te 2.65-2.70
Re 0.2816 0.8118 0.5000  2 Re 2.48, 3 Te 2.65-2.70
Re 0.2184 0.6882 0.0000  2 Re 2.48, 3 Te 2.65-2.70
Te 0.0503 0.7122 0.5000  4 Re 2.65-2.79
Re 0.1882 0.2816 0.5000  2 Re 2.48, 3 Te 2.65-2.70
Te 0.2878 0.0503 0.5000  4 Re 2.65-2.79
Re 0.6882 0.7816 0.0000  2 Re 2.48, 3 Te 2.65-2.70
Re 0.7816 0.3118 0.0000  2 Re 2.48, 3 Te 2.65-2.70
Te 0.9497 0.2878 0.5000  4 Re 2.65-2.79
Te 0.7878 0.5503 0.0000  4 Re 2.65-2.79
Te 0.7122 0.9497 0.5000  4 Re 2.65-2.79
Te 0.2122 0.4497 0.0000  4 Re 2.65-2.79
Re 0.3118 0.2184 0.0000  2 Re 2.48, 3 Te 2.65-2.70
Te 0.5503 0.2122 0.0000  4 Re 2.65-2.79
Re 0.7184 0.1882 0.5000  2 Re 2.48, 3 Te 2.65-2.70

Calculated values
M_tot   0.00 μB per cell
Formation energy from raw total energies   1.32 eV per formula unit
VASP energy   -14.272 eV per formula unit